*one*
{
  "formula": "Mn2TcMo",
  "functional": "PBE",
  "state": "relaxed",
  "space_group": "No. 216",
  "magmom_total_mub_per_fu": 3.1,
  "cell": [[-1.1270, -1.5297, -3.7980], [0.8633, -4.0347, -1.0054], [-3.1484, -2.8343, -0.2984]],
  "species": ["Mn", "Tc", "Mn", "Mo"],
  "frac_coords": [[0.0000, 0.0000, 0.0000], [0.2500, 0.2500, 0.2500], [0.7500, 0.7500, 0.7500], [0.5000, 0.5000, 0.5000]]
}

*two*
{
  "formula": "Mn2TcMo",
  "functional": "PBE",
  "state": "relaxed",
  "space_group": "No. 225",
  "magmom_total_mub_per_fu": 3.2,
  "cell": [[-1.3077, -3.8339, 1.2976], [-3.9412, -0.5010, 1.5195], [-2.8968, -2.1381, -2.2649]],
  "species": ["Mn", "Mn", "Mo", "Tc"],
  "frac_coords": [[0.2500, 0.2500, 0.2500], [0.7500, 0.7500, 0.7500], [0.0000, 0.0000, 0.0000], [0.5000, 0.5000, 0.5000]]
}

*three*
{
  "formula": "Mn2TcMo",
  "functional": "PBE",
  "state": "relaxed",
  "space_group": "No. 47",
  "magmom_total_mub_per_fu": 3.0,
  "cell": [[3.0928, 0.0000, 0.0000], [0.0000, 4.2329, 0.0000], [0.0000, 0.0000, 4.1467]],
  "species": ["Mn", "Mn", "Mo", "Tc"],
  "frac_coords": [[0.5000, 0.5000, 0.0000], [0.0000, 0.0000, 0.0000], [0.5000, 0.0000, 0.5000], [0.0000, 0.5000, 0.5000]]
}

What should be chosen as the least stable of them? Choose *two*.

*one*
{
  "formula": "Mn2TcMo",
  "functional": "PBE",
  "state": "relaxed",
  "space_group": "No. 71",
  "magmom_total_mub_per_fu": 3.7,
  "cell": [[4.8671, -0.0051, 0.0009], [2.0357, 4.4209, -0.0009], [-3.0657, -2.8109, 2.5277]],
  "species": ["Mn", "Mo", "Tc", "Mn"],
  "frac_coords": [[0.9992, 0.9992, 0.0000], [0.7500, 0.2500, 0.5000], [0.2500, 0.7500, 0.5000], [0.5008, 0.5008, 0.0000]]
}

*two*
{
  "formula": "Mn2TcMo",
  "functional": "PBE",
  "state": "relaxed",
  "space_group": "No. 160",
  "magmom_total_mub_per_fu": 0.4,
  "cell": [[-3.6950, -8.0234, 0.0298], [-1.1563, -8.7406, 0.5416], [-2.7718, -7.9892, 2.5532]],
  "species": ["Tc", "Mn", "Mo", "Mn"],
  "frac_coords": [[0.7442, 0.7442, 0.7442], [0.9962, 0.9962, 0.9962], [0.5025, 0.5025, 0.5025], [0.2570, 0.2570, 0.2570]]
}

*three*
{
  "formula": "Mn2TcMo",
  "functional": "PBE",
  "state": "relaxed",
  "space_group": "No. 8",
  "magmom_total_mub_per_fu": 0.3,
  "cell": [[-3.8817, -1.9931, 1.6102], [-3.4752, -2.9675, -0.8654], [1.7002, -3.8554, 1.7967]],
  "species": ["Mn", "Mo", "Mn", "Tc"],
  "frac_coords": [[0.0067, 0.0067, 0.0014], [0.4932, 0.4932, 0.5144], [0.7374, 0.7374, 0.7564], [0.2627, 0.2627, 0.2277]]
}

What should be chosen as the least stable of them? Choose *two*.

*one*
{
  "formula": "Mn2TcMo",
  "functional": "PBE",
  "state": "relaxed",
  "space_group": "No. 99",
  "magmom_total_mub_per_fu": 3.1,
  "cell": [[3.0496, 0.0000, 0.0000], [0.0000, 3.0495, 0.0000], [0.0000, 0.0000, 5.8045]],
  "species": ["Mo", "Mn", "Tc", "Mn"],
  "frac_coords": [[0.0000, 0.0000, 0.4834], [0.5000, 0.5000, 0.2457], [0.5000, 0.5000, 0.7636], [0.0000, 0.0000, 0.0074]]
}

*two*
{
  "formula": "Mn2TcMo",
  "functional": "PBE",
  "state": "relaxed",
  "space_group": "No. 44",
  "magmom_total_mub_per_fu": 3.5,
  "cell": [[-2.6355, 2.8207, -3.1105], [-3.5051, -2.2908, -2.6541], [1.5551, 0.9582, 4.6088]],
  "species": ["Mn", "Mo", "Tc", "Mn"],
  "frac_coords": [[0.9989, 0.9989, 0.0000], [0.5007, 0.5007, 0.0000], [0.2495, 0.7495, 0.5000], [0.7508, 0.2508, 0.5000]]
}

*three*
{
  "formula": "Mn2TcMo",
  "functional": "PBE",
  "state": "relaxed",
  "space_group": "No. 122",
  "magmom_total_mub_per_fu": 3.7,
  "cell": [[-6.4407, -1.5490, -0.9095], [1.1625, -1.0133, -6.5063], [-2.1043, -3.7902, -3.2216]],
  "species": ["Tc", "Mn", "Tc", "Mn", "Mo", "Mo", "Mn", "Mn"],
  "frac_coords": [[0.0000, 0.0000, 0.0000], [0.8750, 0.8800, 0.7500], [0.7500, 0.2500, 0.5000], [0.3750, 0.3700, 0.7500], [0.2500, 0.7500, 0.5000], [0.5000, 0.5000, 0.0000], [0.6300, 0.1250, 0.2500], [0.1200, 0.6250, 0.2500]]
}

What should be chosen as the least stable of them? Choose *three*.

*one*
{
  "formula": "Mn2TcMo",
  "functional": "PBE",
  "state": "relaxed",
  "space_group": "No. 123",
  "magmom_total_mub_per_fu": 3.4,
  "cell": [[-1.1566, -0.4595, 2.7746], [-2.6375, -0.8558, -1.2412], [1.8823, -5.5954, -0.1420]],
  "species": ["Mn", "Mo", "Tc", "Mn"],
  "frac_coords": [[0.0000, 0.0000, 0.0001], [0.5000, 0.5000, 0.2500], [0.5000, 0.5000, 0.7500], [0.0000, 0.0000, 0.4999]]
}

*two*
{
  "formula": "Mn2TcMo",
  "functional": "PBE",
  "state": "relaxed",
  "space_group": "No. 119",
  "magmom_total_mub_per_fu": 0.3,
  "cell": [[-1.5295, 3.0292, 3.1811], [-0.5610, -2.2224, 4.0474], [3.5995, 0.1788, -2.9405]],
  "species": ["Mo", "Mn", "Tc", "Mn"],
  "frac_coords": [[0.5000, 0.5000, 0.0000], [0.2500, 0.7500, 0.5000], [0.7500, 0.2500, 0.5000], [0.0000, 0.0000, 0.0000]]
}

What should be chosen as the least stable of them? Choose *two*.

*one*
{
  "formula": "Mn2TcMo",
  "functional": "PBE",
  "state": "relaxed",
  "space_group": "No. 166",
  "magmom_total_mub_per_fu": 1.8,
  "cell": [[8.8664, 0.0300, 0.0176], [8.4576, 2.6612, 0.0176], [8.4576, 1.3138, 2.3143]],
  "species": ["Tc", "Mn", "Mn", "Mo"],
  "frac_coords": [[0.7500, 0.7500, 0.7500], [0.4973, 0.4973, 0.4973], [0.0027, 0.0027, 0.0027], [0.2500, 0.2500, 0.2500]]
}

*two*
{
  "formula": "Mn2TcMo",
  "functional": "PBE",
  "state": "relaxed",
  "space_group": "No. 12",
  "magmom_total_mub_per_fu": 3.6,
  "cell": [[-2.3264, 3.4879, 3.0203], [-2.2508, -4.2567, -0.7387], [0.2861, -1.0248, 2.4024]],
  "species": ["Mn", "Mo", "Tc", "Mn"],
  "frac_coords": [[0.0000, 0.0000, 0.0000], [0.0000, 0.5000, 0.5000], [0.5000, 0.5000, 0.0000], [0.5000, 0.0000, 0.5000]]
}

What should be chosen as the least stable of them? Choose *one*.

*one*
{
  "formula": "MnTc3Mo",
  "functional": "PBE",
  "state": "relaxed",
  "space_group": "No. 221",
  "magmom_total_mub_per_fu": 0.0,
  "cell": [[4.3527, 0.0000, 0.0000], [0.0000, 4.3527, 0.0000], [0.0000, 0.0000, 4.3527]],
  "species": ["Tc", "Tc", "Tc", "Mn", "Mo"],
  "frac_coords": [[0.0000, 0.0000, 0.5000], [0.0000, 0.5000, 0.0000], [0.5000, 0.0000, 0.0000], [0.0000, 0.0000, 0.0000], [0.5000, 0.5000, 0.5000]]
}

*two*
{
  "formula": "MnTc3Mo",
  "functional": "PBE",
  "state": "relaxed",
  "space_group": "No. 221",
  "magmom_total_mub_per_fu": 0.2,
  "cell": [[4.6042, 0.0000, 0.0000], [0.0000, 4.6042, 0.0000], [0.0000, 0.0000, 4.6042]],
  "species": ["Tc", "Mo", "Tc", "Tc", "Mn"],
  "frac_coords": [[0.0000, 0.0000, 0.5000], [0.0000, 0.0000, 0.0000], [0.5000, 0.0000, 0.0000], [0.0000, 0.5000, 0.0000], [0.5000, 0.5000, 0.5000]]
}

What should be chosen as the least stable of them? Choose *two*.

*one*
{
  "formula": "MnTcMo",
  "functional": "PBE",
  "state": "relaxed",
  "space_group": "No. 107",
  "magmom_total_mub_per_fu": 2.6,
  "cell": [[-2.5343, 0.7369, -4.2513], [0.5066, -2.4459, -4.3359], [-0.4987, -0.6078, 4.9418]],
  "species": ["Mo", "Tc", "Mn"],
  "frac_coords": [[0.6689, 0.6689, 0.0000], [0.3305, 0.3305, 0.0000], [0.0006, 0.0006, 0.0000]]
}

*two*
{
  "formula": "MnTcMo",
  "functional": "PBE",
  "state": "relaxed",
  "space_group": "No. 216",
  "magmom_total_mub_per_fu": 0.0,
  "cell": [[4.0429, 0.0000, 0.0000], [2.0215, 3.5013, 0.0000], [2.0215, 1.1671, 3.3010]],
  "species": ["Mo", "Mn", "Tc"],
  "frac_coords": [[0.0000, 0.0000, 0.0000], [0.7500, 0.7500, 0.7500], [0.5000, 0.5000, 0.5000]]
}

*three*
{
  "formula": "MnTcMo",
  "functional": "PBE",
  "state": "relaxed",
  "space_group": "No. 156",
  "magmom_total_mub_per_fu": 2.5,
  "cell": [[-0.7155, 4.1751, 0.9502], [-3.0289, -2.2995, -2.0939], [-1.0602, -0.7076, 2.3107]],
  "species": ["Mo", "Tc", "Mn"],
  "frac_coords": [[0.6667, 0.3333, 0.3336], [0.3333, 0.6667, 0.6446], [0.0000, 0.0000, 0.0219]]
}

What should be chosen as the least stable of them? Choose *two*.

*one*
{
  "formula": "MnTeMo",
  "functional": "PBE",
  "state": "relaxed",
  "space_group": "No. 216",
  "magmom_total_mub_per_fu": 0.0,
  "cell": [[-3.5116, 1.5834, -1.6266], [-1.3842, -1.3554, -3.7056], [-3.4520, -2.3503, -0.2100]],
  "species": ["Te", "Mn", "Mo"],
  "frac_coords": [[0.5000, 0.5000, 0.5000], [0.7500, 0.7500, 0.7500], [0.0000, 0.0000, 0.0000]]
}

*two*
{
  "formula": "MnTeMo",
  "functional": "PBE",
  "state": "relaxed",
  "space_group": "No. 38",
  "magmom_total_mub_per_fu": 3.0,
  "cell": [[3.2779, 0.0000, 0.0000], [-1.6389, 2.8390, 0.0000], [0.0000, 0.0000, 12.1696]],
  "species": ["Mn", "Mn", "Mo", "Te", "Mo", "Te"],
  "frac_coords": [[0.1116, 0.2232, 0.8517], [0.1116, 0.2232, 0.1483], [0.4450, 0.8900, 0.0000], [0.7772, 0.5545, 0.6627], [0.4439, 0.8879, 0.5000], [0.7772, 0.5545, 0.3373]]
}

*three*
{
  "formula": "MnTeMo",
  "functional": "PBE",
  "state": "relaxed",
  "space_group": "No. 107",
  "magmom_total_mub_per_fu": 3.4,
  "cell": [[5.0449, -0.0005, 0.0006], [3.8886, 3.2138, 0.0050], [1.1563, 0.4111, 3.1879]],
  "species": ["Mn", "Mo", "Te"],
  "frac_coords": [[0.9957, 0.9957, 0.0043], [0.3376, 0.3376, 0.6624], [0.6667, 0.6667, 0.3333]]
}

*four*
{
  "formula": "MnTeMo",
  "functional": "PBE",
  "state": "relaxed",
  "space_group": "No. 156",
  "magmom_total_mub_per_fu": 1.1,
  "cell": [[-1.9871, 3.5435, -1.4012], [-2.2624, -3.1281, 1.8880], [0.4560, 1.3681, 2.8132]],
  "species": ["Mn", "Te", "Mo"],
  "frac_coords": [[0.0000, 0.0000, 0.9208], [0.3333, 0.6667, 0.7820], [0.6667, 0.3333, 0.2972]]
}

What should be chosen as the least stable of them? Choose *four*.